Record 1
Computed, not measured: crystalline FeC3 at its relaxed geometry at the PBE level of DFT.

Structure (POSCAR):
```
FeC3
1.0
3.856 0.000 0.000
0.000 3.856 0.000
0.000 0.000 3.856
Fe C
2 6
Cartesian
0.000 0.000 0.000
1.928 1.928 1.928
0.000 0.964 1.928
0.000 2.892 1.928
0.964 1.928 0.000
1.928 0.000 0.964
1.928 0.000 2.892
2.892 1.928 0.000
```

Results
Relative energy among the computed polymorphs, meV/atom: 1895
Formation energy, meV/atom: 2466

---

Record 2
Computed, not measured: crystalline Fe2C at its relaxed geometry at the PBE level of DFT.

Structure (POSCAR):
```
Fe2C
1.0
2.766 0.000 0.000
0.000 2.766 0.000
0.000 0.000 3.823
Fe C
2 1
Cartesian
0.000 0.000 0.000
1.383 1.383 1.911
0.000 0.000 1.911
```

Results
Formation energy, meV/atom: 274

---

Record 3
Computed, not measured: crystalline FeC3 at its relaxed geometry at the PBE level of DFT.

Structure (POSCAR):
```
FeC3
1.0
-1.303 3.012 1.869
1.303 -3.012 1.869
1.303 3.012 -1.869
Fe C
1 3
Cartesian
0.000 0.000 0.000
1.303 0.000 1.584
0.000 1.936 0.639
0.000 4.087 0.639
```

Results
Relative energy among the computed polymorphs, meV/atom: 655
Formation energy, meV/atom: 1226

---

Record 4
Computed, not measured: crystalline Fe2C at its relaxed geometry at the PBE level of DFT.

Structure (POSCAR):
```
Fe2C
1.0
3.699 0.000 0.000
-1.849 3.203 0.000
0.000 0.000 2.639
Fe C
2 1
Cartesian
0.000 2.135 0.000
1.849 1.068 0.000
0.000 0.000 0.000
```

Results
Formation energy, meV/atom: 1155

---

Record 5
Computed, not measured: crystalline FeC3 at its relaxed geometry at the PBE level of DFT.

Structure (POSCAR):
```
FeC3
1.0
3.501 -1.250 0.000
3.501 1.250 0.000
-1.213 0.000 3.973
Fe C
1 3
Cartesian
0.000 0.000 0.000
0.676 0.000 1.919
2.039 0.000 2.496
3.399 0.000 1.844
```

Results
Relative energy among the computed polymorphs, meV/atom: 129
Formation energy, meV/atom: 700

---

Record 6
Computed, not measured: crystalline Fe7C at its relaxed geometry at the PBE level of DFT.

Structure (POSCAR):
```
Fe7C
1.0
0.000 3.472 3.472
3.472 0.000 3.472
3.472 3.472 0.000
Fe C
7 1
Cartesian
0.000 0.000 0.000
1.736 1.736 0.000
1.736 0.000 1.736
3.472 1.736 1.736
0.000 1.736 1.736
1.736 3.472 1.736
1.736 1.736 3.472
3.472 3.472 3.472
```

Results
Formation energy, meV/atom: 525

---

Record 7
Computed, not measured: crystalline FeC at its relaxed geometry at the PBE level of DFT.

Structure (POSCAR):
```
FeC
1.0
2.920 0.000 0.000
0.000 4.280 2.476
0.000 -4.280 2.476
Fe C
3 3
Cartesian
0.000 0.000 0.000
1.460 -2.445 1.497
1.460 2.445 1.497
0.000 -2.453 2.918
0.000 2.453 2.918
1.460 0.000 3.794
```

Results
Formation energy, meV/atom: 634

---

Record 8
Computed, not measured: crystalline Fe2C at its relaxed geometry at the PBE level of DFT.

Structure (POSCAR):
```
Fe2C
1.0
-1.606 1.606 11.517
1.606 -1.606 11.517
1.606 1.606 -11.517
Fe C
8 4
Cartesian
1.606 0.803 -2.906
1.606 0.803 0.981
0.000 0.803 2.852
1.606 0.803 4.777
0.000 0.803 6.740
1.606 0.803 8.664
0.000 0.803 10.536
0.000 0.803 14.423
1.606 -0.803 7.340
1.606 -0.803 9.936
0.000 2.409 1.581
0.000 2.409 4.177
```

Results
Formation energy, meV/atom: 773